1.
# ScTl2Ag

A relaxed ScTl2Ag crystal (GGA-PBEsol, Alexandria).

Cell lengths 3.3153, 3.3153, 27.8922 Å; angles 90.00, 90.00, 120.00 degrees
Space group R-3m (No. 166, hexagonal axes)
Unique sites:
1 Sc 0.0000 0.0000 0.0000 (multiplicity 3)
2 Tl 0.0000 0.0000 0.2470 (multiplicity 6)
3 Ag 0.0000 0.0000 0.5000 (multiplicity 3)

Properties
- E_tot: -45.448 eV per cell
- Energy of formation: 0.03 eV per formula unit

2.
# CdIn

A relaxed CdIn crystal (GGA-PBEsol, Alexandria).

Cell lengths 3.136, 5.369, 5.552 Å; angles 90.00, 90.00, 90.00 degrees
Space group Pmmn (No. 59, origin choice 2)
Unique sites:
1 Cd 0.250 0.250 0.085 (multiplicity 2)
2 In 0.250 0.750 0.409 (multiplicity 2)

Properties
- E_tot: -8.162 eV per cell
- Energy of formation: 0.10 eV per formula unit

3.
# Ho2WO6

A relaxed Ho2WO6 crystal (GGA-PBEsol, Alexandria).

Cell lengths 5.178, 8.986, 9.790 Å; angles 90.00, 90.00, 90.00 degrees
Space group P2_12_12_1 (No. 19)
Unique sites:
1 Ho 0.020 0.103 0.467 (multiplicity 4)
2 Ho 0.040 0.220 0.873 (multiplicity 4)
3 W 0.040 0.495 0.347 (multiplicity 4)
4 O 0.082 0.843 0.030 (multiplicity 4)
5 O 0.177 0.637 0.819 (multiplicity 4)
6 O 0.177 0.953 0.299 (multiplicity 4)
7 O 0.194 0.642 0.234 (multiplicity 4)
8 O 0.233 0.114 0.067 (multiplicity 4)
9 O 0.249 0.591 0.495 (multiplicity 4)

Properties
- E_tot: -332.103 eV per cell
- Relative energy among the computed polymorphs: 0.0206 eV/atom

4.
# Be2TlNi

A relaxed Be2TlNi crystal (GGA-PBEsol, Alexandria).

Cell lengths 2.944, 2.944, 5.788 Å; angles 90.00, 90.00, 90.00 degrees
Space group P4mm (No. 99)
Unique sites:
1 Be 0.000 0.000 0.000 (multiplicity 1)
2 Be 0.500 0.500 0.198 (multiplicity 1)
3 Tl 0.500 0.500 0.685 (multiplicity 1)
4 Ni 0.000 0.000 0.359 (multiplicity 1)

Properties
- E_tot: -15.882 eV per cell
- Relative energy among the computed polymorphs: 0.0000 eV/atom
- Energy of formation: 0.91 eV per formula unit

5.
# LaNiSe2

A relaxed LaNiSe2 crystal (GGA-PBEsol, Alexandria).

Cell lengths 6.890, 6.890, 6.890 Å; angles 90.00, 90.00, 90.00 degrees
Space group Fm-3m (No. 225)
Unique sites:
1 La 0.000 0.000 0.000 (multiplicity 4)
2 Ni 0.000 0.000 0.500 (multiplicity 4)
3 Se 0.250 0.250 0.250 (multiplicity 8)

Properties
- E_tot: -89.964 eV per cell

6.
# CrC2S

A relaxed CrC2S crystal (GGA-PBEsol, Alexandria).

Cell lengths 4.527, 4.527, 7.780 Å; angles 90.00, 90.00, 90.00 degrees
Space group I-42d (No. 122)
Unique sites:
1 Cr 0.000 0.000 0.000 (multiplicity 4)
2 C 0.208 0.250 0.625 (multiplicity 8)
3 S 0.000 0.000 0.500 (multiplicity 4)

Properties
- E_tot: -119.966 eV per cell

7.
# ScSeBr

A relaxed ScSeBr crystal (GGA-PBEsol, Alexandria).

Cell lengths 3.8008, 3.8008, 6.2918 Å; angles 90.00, 90.00, 120.00 degrees
Space group P3m1 (No. 156)
Unique sites:
1 Sc 0.0000 0.0000 0.0000 (multiplicity 1)
2 Se 0.3333 0.6667 0.7808 (multiplicity 1)
3 Br 0.6667 0.3333 0.2710 (multiplicity 1)

Properties
- E_tot: -17.356 eV per cell

8.
# CdReW

A relaxed CdReW crystal (GGA-PBEsol, Alexandria).

Cell lengths 2.8222, 2.8222, 7.1307 Å; angles 90.00, 90.00, 120.00 degrees
Space group P3m1 (No. 156)
Unique sites:
1 Cd 0.0000 0.0000 0.0000 (multiplicity 1)
2 Re 0.3333 0.6667 0.6537 (multiplicity 1)
3 W 0.6667 0.3333 0.3552 (multiplicity 1)

Properties
- E_tot: -26.962 eV per cell
- Energy of formation: 1.37 eV per formula unit